Entry 1:
This record from Alexandria via LeMat-Bulk describes crystalline Pm2PrYHo5 at its relaxed geometry. The functional is PBE-GGA.

Output
Symmetry: I4/mcm

a = 9.876 Å, b = 9.876 Å, c = 9.876 Å
α = 127.28°, β = 127.28°, γ = 77.80°
Sites, in units of the cell vectors:
Pm: 0.116 0.616 0.732
Pm: 0.384 0.116 0.500
Pm: 0.616 0.884 0.500
Pm: 0.884 0.384 0.268
Pr: 0.250 0.250 0.000
Pr: 0.750 0.750 0.000
Y: 0.250 0.750 0.500
Y: 0.750 0.250 0.500
Ho: 0.000 0.000 0.000
Ho: 0.074 0.154 0.500
Ho: 0.154 0.654 0.080
Ho: 0.346 0.426 0.500
Ho: 0.426 0.926 0.080
Ho: 0.500 0.500 0.000
Ho: 0.574 0.074 0.920
Ho: 0.654 0.574 0.500
Ho: 0.846 0.346 0.920
Ho: 0.926 0.846 0.500


Entry 2:
This record from Alexandria via LeMat-Bulk describes crystalline PmPrY5Ho2 at its relaxed geometry. The functional is PBE-GGA.

Output
Symmetry: I4/mcm

a = 9.904 Å, b = 9.904 Å, c = 9.904 Å
α = 127.50°, β = 127.50°, γ = 77.44°
Sites, in units of the cell vectors:
Pm: 0.250 0.250 0.000
Pm: 0.750 0.750 0.000
Pr: 0.250 0.750 0.500
Pr: 0.750 0.250 0.500
Y: 0.000 0.000 0.000
Y: 0.068 0.568 0.903
Y: 0.165 0.068 0.500
Y: 0.335 0.835 0.903
Y: 0.432 0.335 0.500
Y: 0.500 0.500 0.000
Y: 0.568 0.665 0.500
Y: 0.665 0.165 0.097
Y: 0.835 0.932 0.500
Y: 0.932 0.432 0.097
Ho: 0.117 0.383 0.500
Ho: 0.383 0.883 0.266
Ho: 0.617 0.117 0.734
Ho: 0.883 0.617 0.500


Entry 3:
This record from Alexandria via LeMat-Bulk describes crystalline Pm3Pr6Y2Ho at its relaxed geometry. The functional is PBE-GGA.

Output
Symmetry: C2/m

a = 6.361 Å, b = 6.361 Å, c = 12.039 Å
α = 95.04°, β = 95.04°, γ = 120.01°
Sites, in units of the cell vectors:
Pm: 0.000 0.000 0.000
Pm: 0.334 0.666 0.000
Pm: 0.666 0.334 0.000
Pr: 0.085 0.417 0.253
Pr: 0.250 0.250 0.747
Pr: 0.417 0.085 0.253
Pr: 0.583 0.915 0.747
Pr: 0.750 0.750 0.253
Pr: 0.915 0.583 0.747
Y: 0.167 0.833 0.500
Y: 0.833 0.167 0.500
Ho: 0.500 0.500 0.500


Entry 4:
This record from Alexandria via LeMat-Bulk describes crystalline Pm2PrYHo2 at its relaxed geometry. The functional is PBE-GGA.

Output
Symmetry: Pnnm

a = 6.996 Å, b = 16.475 Å, c = 3.526 Å
α = 90.00°, β = 90.00°, γ = 90.00°
Sites, in units of the cell vectors:
Pm: 0.247 0.161 0.000
Pm: 0.253 0.661 0.500
Pm: 0.747 0.339 0.500
Pm: 0.753 0.839 0.000
Pr: 0.000 0.500 0.000
Pr: 0.500 0.000 0.500
Y: 0.000 0.000 0.500
Y: 0.500 0.500 0.000
Ho: 0.248 0.346 0.500
Ho: 0.252 0.846 0.000
Ho: 0.748 0.154 0.000
Ho: 0.752 0.654 0.500


Entry 5:
This record from Alexandria via LeMat-Bulk describes crystalline Pm6Pr2Y3Ho at its relaxed geometry. The functional is PBE-GGA.

Output
Symmetry: C2/m

a = 6.298 Å, b = 6.298 Å, c = 12.015 Å
α = 95.00°, β = 95.00°, γ = 120.00°
Sites, in units of the cell vectors:
Pm: 0.084 0.416 0.752
Pm: 0.248 0.248 0.247
Pm: 0.416 0.084 0.752
Pm: 0.584 0.916 0.248
Pm: 0.752 0.752 0.753
Pm: 0.916 0.584 0.248
Pr: 0.333 0.667 0.500
Pr: 0.667 0.333 0.500
Y: 0.166 0.834 0.000
Y: 0.500 0.500 0.000
Y: 0.834 0.166 0.000
Ho: 0.000 0.000 0.500


Entry 6:
This record from Alexandria via LeMat-Bulk describes crystalline Pm4Pr2YHo2 at its relaxed geometry. The functional is PBE-GGA.

Output
Symmetry: C2/m

a = 8.134 Å, b = 8.134 Å, c = 8.093 Å
α = 107.59°, β = 107.59°, γ = 36.85°
Sites, in units of the cell vectors:
Pm: 0.056 0.056 0.331
Pm: 0.278 0.278 0.669
Pm: 0.722 0.722 0.331
Pm: 0.944 0.944 0.669
Pr: 0.388 0.388 0.331
Pr: 0.612 0.612 0.669
Y: 0.500 0.500 0.000
Ho: 0.167 0.167 0.000
Ho: 0.833 0.833 0.000


Entry 7:
This record from Alexandria via LeMat-Bulk describes crystalline Pm2PrY5Ho at its relaxed geometry. The functional is PBE-GGA.

Output
Symmetry: I4/mcm

a = 9.925 Å, b = 9.925 Å, c = 9.925 Å
α = 127.34°, β = 127.34°, γ = 77.69°
Sites, in units of the cell vectors:
Pm: 0.116 0.616 0.732
Pm: 0.384 0.116 0.500
Pm: 0.616 0.884 0.500
Pm: 0.884 0.384 0.268
Pr: 0.250 0.250 0.000
Pr: 0.750 0.750 0.000
Y: 0.000 0.000 0.000
Y: 0.072 0.155 0.500
Y: 0.155 0.655 0.083
Y: 0.345 0.428 0.500
Y: 0.428 0.928 0.083
Y: 0.500 0.500 0.000
Y: 0.572 0.072 0.917
Y: 0.655 0.572 0.500
Y: 0.845 0.345 0.917
Y: 0.928 0.845 0.500
Ho: 0.250 0.750 0.500
Ho: 0.750 0.250 0.500


Entry 8:
This record from Alexandria via LeMat-Bulk describes crystalline PmPr2Y5Ho at its relaxed geometry. The functional is PBE-GGA.

Output
Symmetry: I4/mcm

a = 9.997 Å, b = 9.997 Å, c = 9.997 Å
α = 128.07°, β = 128.07°, γ = 76.50°
Sites, in units of the cell vectors:
Pm: 0.250 0.250 0.000
Pm: 0.750 0.750 0.000
Pr: 0.117 0.617 0.735
Pr: 0.383 0.117 0.500
Pr: 0.617 0.883 0.500
Pr: 0.883 0.383 0.265
Y: 0.000 0.000 0.000
Y: 0.072 0.151 0.500
Y: 0.151 0.651 0.079
Y: 0.349 0.428 0.500
Y: 0.428 0.928 0.079
Y: 0.500 0.500 0.000
Y: 0.572 0.072 0.921
Y: 0.651 0.572 0.500
Y: 0.849 0.349 0.921
Y: 0.928 0.849 0.500
Ho: 0.250 0.750 0.500
Ho: 0.750 0.250 0.500


| no. | E_form (eV per atom) | final energy (eV per formula unit) |
| --- | --- | --- |
| 1 | 0.26 | -41.3 |
| 2 | 0.26 | -48.6 |
| 3 | 0.01 | -60.3 |
| 4 | 0.15 | -29.0 |
| 5 | 0.01 | -61.9 |
| 6 | 0.02 | -44.0 |
| 7 | 0.25 | -48.9 |
| 8 | 0.25 | -49.0 |